12
Lattice="5.2210 0.0000 0.0000 -2.6105 4.5215 0.0000 0.0000 0.0000 7.3765" Properties=species:S:1:pos:R:3 comment="NaMnZn2F8 PBE+U optimized geometry" total_magnetization_mub_per_fu=2.0 dft_energy_ev_per_atom=-4.33 pbc="T T T"
F 1.8813 3.1847 1.1555
F -1.8174 3.2216 6.2210
Mn 0.0000 0.0000 0.0000
Na 0.0000 0.0000 3.6882
F 1.0882 4.4846 6.2210
F 4.4279 1.2999 1.1555
F 1.5223 0.0369 1.1555
F 0.0000 3.0143 3.6638
F 2.6105 1.5072 3.7127
Zn 0.0000 3.0143 5.5220
Zn 2.6105 1.5072 1.8545
F 0.7292 1.3368 6.2210